Entry one
The following is a DFT calculation (PBE) of an optimized crystal structure of SrTcIr2.

Properties
Fermi-level density of states = 3.83 states/eV/f.u.

a = 3.5903 Å, b = 5.1380 Å, c = 8.6227 Å
α = 90.00°, β = 90.00°, γ = 90.00°
Last column: nearest neighbours and their distance in Å.
Space group Immm (No. 71)
One atom of each set of equivalent atoms:
Sr 0.0000 0.0000 0.0000 [2 per cell]  8 Ir 3.10-3.14, 4 Tc 3.13
Tc 0.0000 0.0000 0.5000 [2 per cell]  4 Ir 2.49
Ir 0.0000 0.5000 0.2006 [4 per cell]  2 Tc 2.49


Entry two
The following is a DFT calculation (PBE) of an optimized crystal structure of SrTcIr2.

Properties
Fermi-level density of states = 3.98 states/eV/f.u.

a = 4.3427 Å, b = 4.3427 Å, c = 3.8691 Å
α = 90.00°, β = 90.00°, γ = 90.00°
Last column: nearest neighbours and their distance in Å.
Space group P4/mmm (No. 123)
One atom of each set of equivalent atoms:
Sr 0.0000 0.0000 0.0000 [1 per cell]  8 Ir 2.91, 4 Tc 3.07
Tc 0.5000 0.5000 0.0000 [1 per cell]  8 Ir 2.91, 4 Sr 3.07
Ir 0.0000 0.5000 0.5000 [2 per cell]  4 Tc 2.91, 4 Sr 2.91, 4 Ir 3.07


Entry three
The following is a DFT calculation (PBE) of an optimized crystal structure of SrTcIr2.

Properties
Fermi-level density of states = 6.29 states/eV/f.u.

a = 2.9110 Å, b = 4.8819 Å, c = 4.9620 Å
α = 90.00°, β = 90.00°, γ = 90.00°
Last column: nearest neighbours and their distance in Å.
Space group Pmmm (No. 47)
One atom of each set of equivalent atoms:
Sr 0.0000 0.0000 0.0000 [1 per cell]  4 Ir 2.84, 4 Tc 2.88, 2 Sr 2.91
Tc 0.5000 0.0000 0.5000 [1 per cell]  4 Ir 2.84, 4 Sr 2.88, 2 Tc 2.91
Ir 0.0000 0.5000 0.5000 [1 per cell]  4 Tc 2.84, 6 Ir 2.88-2.91
Ir 0.5000 0.5000 0.0000 [1 per cell]  4 Sr 2.84, 6 Ir 2.88-2.91


Entry four
The following is a DFT calculation (PBE) of an optimized crystal structure of SrTcIr2.

Properties
Fermi-level density of states = 5.31 states/eV/f.u.

a = 7.5496 Å, b = 7.5496 Å, c = 5.9312 Å
α = 90.00°, β = 90.00°, γ = 90.00°
Last column: nearest neighbours and their distance in Å.
Space group I-42d (No. 122)
One atom of each set of equivalent atoms:
Sr 0.0000 0.0000 0.0000 [4 per cell]  2 Tc 2.97, 8 Ir 3.15-3.22
Tc 0.0000 0.0000 0.5000 [4 per cell]  4 Ir 2.45
Ir 0.1812 0.7500 0.6250 [8 per cell]  2 Tc 2.45


Most stable: entry four (next structure +65 meV/atom)


Entry one
The following is a DFT calculation (PBE) of an optimized crystal structure of SrTcIr2.

Properties
Fermi-level density of states = 4.59 states/eV/f.u.

a = 2.7946 Å, b = 3.8973 Å, c = 7.0176 Å
α = 90.00°, β = 90.00°, γ = 90.00°
Last column: nearest neighbours and their distance in Å.
Space group Pmm2 (No. 25)
One atom of each set of equivalent atoms:
Sr 0.0000 0.0000 0.0000 [1 per cell]  2 Sr 2.79
Tc 0.5000 0.5000 0.3432 [1 per cell]  5 Ir 2.54-2.64, 2 Tc 2.79
Ir 0.0000 0.0000 0.5010 [1 per cell]  4 Tc 2.64, 6 Ir 2.79-2.80
Ir 0.5000 0.5000 0.7057 [1 per cell]  1 Tc 2.54, 6 Ir 2.79-2.80


Entry two
The following is a DFT calculation (PBE) of an optimized crystal structure of SrTcIr2.

Properties
Fermi-level density of states = 4.61 states/eV/f.u.

a = 2.8453 Å, b = 3.5868 Å, c = 7.4080 Å
α = 90.00°, β = 90.00°, γ = 90.00°
Last column: nearest neighbours and their distance in Å.
Space group Pmmm (No. 47)
One atom of each set of equivalent atoms:
Sr 0.0000 0.0000 0.0000 [1 per cell]  2 Sr 2.85
Tc 0.0000 0.0000 0.5000 [1 per cell]  8 Ir 2.67, 2 Tc 2.85
Ir 0.5000 0.5000 0.3151 [2 per cell]  4 Tc 2.67, 3 Ir 2.74-2.85


Entry three
The following is a DFT calculation (PBE) of an optimized crystal structure of SrTcIr2.

Properties
Fermi-level density of states = 4.62 states/eV/f.u.

a = 6.0193 Å, b = 8.1315 Å, c = 2.8504 Å
α = 90.00°, β = 90.00°, γ = 90.00°
Last column: nearest neighbours and their distance in Å.
Space group Cmmm (No. 65)
One atom of each set of equivalent atoms:
Sr 0.0000 0.0000 0.0000 [2 per cell]  2 Sr 2.85, 8 Ir 2.90, 2 Tc 3.01
Tc 0.0000 0.5000 0.0000 [2 per cell]  2 Tc 2.85, 8 Ir 2.90, 2 Sr 3.01
Ir 0.2500 0.2500 0.5000 [4 per cell]  4 Ir 2.85-3.01, 4 Tc 2.90, 4 Sr 2.90


Entry four
The following is a DFT calculation (PBE) of an optimized crystal structure of SrTcIr2.

Properties
Fermi-level density of states = 3.58 states/eV/f.u.

a = 9.5262 Å, b = 2.8950 Å, c = 5.7265 Å
α = 90.00°, β = 101.19°, γ = 90.00°
Last column: nearest neighbours and their distance in Å.
Space group Cm (No. 8)
One atom of each set of equivalent atoms:
Sr 0.0000 0.0000 0.0000 [2 per cell]  2 Sr 2.89, 5 Ir 3.01-3.12
Tc 0.2212 0.0000 0.6316 [2 per cell]  5 Ir 2.55-2.81
Ir 0.2676 0.5000 0.2887 [2 per cell]  2 Tc 2.55, 2 Ir 2.71
Ir 0.4948 0.0000 0.5148 [2 per cell]  3 Tc 2.58-2.81, 2 Ir 2.71


Most stable: entry two (next structure +158 meV/atom)


Entry one
The following is a DFT calculation (PBE) of an optimized crystal structure of Sr2TcIr2.

Properties
Fermi-level density of states = 4.36 states/eV/f.u.

a = 8.7088 Å, b = 8.7088 Å, c = 3.0090 Å
α = 90.00°, β = 90.00°, γ = 90.00°
Last column: nearest neighbours and their distance in Å.
Space group P4/mbm (No. 127)
One atom of each set of equivalent atoms:
Sr 0.1309 0.3691 0.0000 [4 per cell]  6 Ir 2.84-3.07, 2 Sr 3.01
Tc 0.0000 0.0000 0.0000 [2 per cell]  2 Tc 3.01
Ir 0.1731 0.6731 0.5000 [4 per cell]  6 Sr 2.84-3.07, 2 Ir 3.01


Entry two
The following is a DFT calculation (PBE) of an optimized crystal structure of Sr2TcIr2.

Properties
Fermi-level density of states = 4.73 states/eV/f.u.

a = 6.6518 Å, b = 6.6518 Å, c = 5.0661 Å
α = 90.00°, β = 90.00°, γ = 90.00°
Last column: nearest neighbours and their distance in Å.
Space group P4/mbm (No. 127)
One atom of each set of equivalent atoms:
Sr 0.1801 0.3199 0.0000 [4 per cell]  6 Ir 3.06-3.31, 1 Sr 3.39
Tc 0.0000 0.0000 0.5000 [2 per cell]  4 Ir 2.58
Ir 0.1369 0.6369 0.5000 [4 per cell]  1 Ir 2.58, 2 Tc 2.58


Entry three
The following is a DFT calculation (PBE) of an optimized crystal structure of Sr2TcIr2.

Properties
Fermi-level density of states = 6.40 states/eV/f.u.

a = 3.5716 Å, b = 3.5716 Å, c = 19.4762 Å
α = 90.00°, β = 90.00°, γ = 90.00°
Last column: nearest neighbours and their distance in Å.
Space group I4/mmm (No. 139)
One atom of each set of equivalent atoms:
Sr 0.0000 0.0000 0.1094 [4 per cell]  4 Ir 3.27, 4 Tc 3.30, 4 Sr 3.57
Tc 0.0000 0.0000 0.5000 [2 per cell]  8 Sr 3.30, 4 Tc 3.57
Ir 0.0000 0.5000 0.2500 [4 per cell]  4 Ir 2.53


Most stable: entry two (next structure +569 meV/atom)


Entry one
The following is a DFT calculation (PBE) of an optimized crystal structure of SrTe2Ir.

Properties
Fermi-level density of states = 2.79 states/eV/f.u.

a = 4.1275 Å, b = 4.1275 Å, c = 25.4228 Å
α = 90.00°, β = 90.00°, γ = 120.00°
Last column: nearest neighbours and their distance in Å.
Space group R3m (No. 160, hexagonal axes)
One atom of each set of equivalent atoms:
Sr 0.0000 0.0000 0.0000 [3 per cell]  3 Te 3.28, 3 Ir 3.30
Te 0.0000 0.0000 0.2445 [3 per cell]  3 Sr 3.28
Te 0.0000 0.0000 0.4599 [3 per cell]  3 Ir 2.56
Ir 0.0000 0.0000 0.7566 [3 per cell]  3 Te 2.56


Entry two
The following is a DFT calculation (PBE) of an optimized crystal structure of SrTe2Ir.

Properties
Fermi-level density of states = 2.52 states/eV/f.u.

a = 5.1316 Å, b = 5.1316 Å, c = 3.7005 Å
α = 90.00°, β = 90.00°, γ = 90.00°
Last column: nearest neighbours and their distance in Å.
Space group P4/mmm (No. 123)
One atom of each set of equivalent atoms:
Sr 0.0000 0.0000 0.0000 [1 per cell]  8 Te 3.16
Te 0.0000 0.5000 0.5000 [2 per cell]  4 Ir 3.16, 4 Sr 3.16
Ir 0.5000 0.5000 0.0000 [1 per cell]  8 Te 3.16


Entry three
The following is a DFT calculation (PBE) of an optimized crystal structure of SrTe2Ir.

Properties
Fermi-level density of states = 2.96 states/eV/f.u.

a = 4.3205 Å, b = 4.3205 Å, c = 20.4167 Å
α = 90.00°, β = 90.00°, γ = 120.00°
Last column: nearest neighbours and their distance in Å.
Space group R-3m (No. 166, hexagonal axes)
One atom of each set of equivalent atoms:
Sr 0.0000 0.0000 0.0000 [3 per cell]  6 Te 3.32
Te 0.0000 0.0000 0.2263 [6 per cell]  3 Ir 2.78
Ir 0.0000 0.0000 0.5000 [3 per cell]  6 Te 2.78


Most stable: entry three (next structure +251 meV/atom)


Entry one
The following is a DFT calculation (PBE) of an optimized crystal structure of SrTe2Ir.

Properties
Fermi-level density of states = 3.23 states/eV/f.u.

a = 4.7324 Å, b = 4.0799 Å, c = 6.8865 Å
α = 90.00°, β = 109.66°, γ = 90.00°
Last column: nearest neighbours and their distance in Å.
Space group Pm (No. 6)
One atom of each set of equivalent atoms:
Sr 0.0000 0.0000 0.0000 [1 per cell]  4 Ir 3.32-3.33, 6 Te 3.43-3.58
Te 0.3931 0.5000 0.7802 [1 per cell]  1 Ir 2.56
Te 0.7018 0.0000 0.4134 [1 per cell]  2 Ir 2.56
Ir 0.5848 0.5000 0.1756 [1 per cell]  3 Te 2.56


Entry two
The following is a DFT calculation (PBE) of an optimized crystal structure of SrTe2Ir.

Properties
Fermi-level density of states = 2.20 states/eV/f.u.

a = 3.9905 Å, b = 3.9905 Å, c = 6.8100 Å
α = 90.00°, β = 90.00°, γ = 90.00°
Last column: nearest neighbours and their distance in Å.
Space group P4mm (No. 99)
One atom of each set of equivalent atoms:
Sr 0.0000 0.0000 0.0000 [1 per cell]  5 Te 3.17
Te 0.0000 0.0000 0.5340 [1 per cell]  4 Ir 2.86, 1 Sr 3.17
Te 0.5000 0.5000 0.2120 [1 per cell]  1 Ir 2.67
Ir 0.5000 0.5000 0.6042 [1 per cell]  5 Te 2.67-2.86


Entry three
The following is a DFT calculation (PBE) of an optimized crystal structure of SrTe2Ir.

Properties
Fermi-level density of states = 3.05 states/eV/f.u.

a = 3.9625 Å, b = 5.7472 Å, c = 10.3325 Å
α = 90.00°, β = 90.00°, γ = 90.00°
Last column: nearest neighbours and their distance in Å.
Space group Immm (No. 71)
One atom of each set of equivalent atoms:
Sr 0.0000 0.0000 0.0000 [2 per cell]  4 Te 3.36, 4 Ir 3.49
Te 0.0000 0.5000 0.1693 [4 per cell]  2 Ir 2.64
Ir 0.0000 0.0000 0.5000 [2 per cell]  4 Te 2.64


Most stable: entry three (next structure +87 meV/atom)